A geometry-optimized RbHfAgTe2Se structure, computed with PBE. Values from VASP.

As for the electronic total energy: -56.8 eV for the cell shown. The value obtained for the relative energy among the computed polymorphs is 57 meV per atom.

The structure in Quantum ESPRESSO input format:
```
&SYSTEM
  ibrav = 0, nat = 12, ntyp = 5
/
ATOMIC_SPECIES
Rb 85.47 Rb.upf
Hf 178.49 Hf.upf
Ag 107.87 Ag.upf
Te 127.60 Te.upf
Se 78.96 Se.upf
ATOMIC_POSITIONS angstrom
Rb 2.0931 4.1304 8.0469
Rb 2.0931 -4.1304 2.6823
Hf 2.0931 0.0000 0.0000
Hf 2.0931 0.0000 5.3646
Ag 2.0931 7.4816 2.6823
Ag 2.0931 -7.4816 8.0469
Te 2.0931 6.0859 0.3373
Te 2.0931 6.0859 5.0272
Te 2.0931 -6.0859 5.7019
Te 2.0931 -6.0859 10.3918
Se 2.0931 0.9590 2.6823
Se 2.0931 -0.9590 8.0469
CELL_PARAMETERS angstrom
2.0931 -8.1225 0.0000
2.0931 8.1225 0.0000
0.0000 0.0000 10.7292
```